# GGA-PBE LiPm2PrAu4, relaxed
# Total DFT energy (no corrections) in eV/atom: -4.372
# Theoretical density in g cm⁻³: 10.63
data_LiPm2PrAu4
_chemical_formula_sum 'Li1 Pm2 Pr1 Au4'
_cell_length_a 5.126
_cell_length_b 5.126
_cell_length_c 8.921
_cell_angle_alpha 73.30
_cell_angle_beta 73.30
_cell_angle_gamma 60.00
_symmetry_space_group_name_H-M 'P 1'
_symmetry_Int_Tables_number 1
_symmetry_space_group_name_Hall 'P 1'
loop_
_atom_site_label
_atom_site_fract_x
_atom_site_fract_y
_atom_site_fract_z
Au1 0.619 0.619 0.143
Pm1 0.241 0.241 0.278
Pr1 0.000 0.000 0.000
Li1 0.500 0.500 0.500
Au2 0.381 0.381 0.857
Au3 0.121 0.121 0.637
Au4 0.879 0.879 0.363
Pm2 0.759 0.759 0.722